VASP calculation (PBE-GGA) on a geometry-optimized Pm3AlPb3 structure.

Results
* ΔH_f (0 K): -0.276 eV per atom
* calculated density: 8.70 Mg/m³
* magnetization: 0.00 Bohr magnetons per cell

a b c (Å): 5.9059 8.9934 8.9934
angles (deg): 120.00 90.00 90.00
Closest atoms and distances in Å follow each position.
Fractional coordinates of all 14 atoms:
Pm 0.2500 0.0930 0.6420  5 Pb 3.14-3.44, 1 Al 3.43
Pm 0.7500 0.4510 0.0930  5 Pb 3.14-3.44, 1 Al 3.43
Pm 0.7500 0.9070 0.3580  5 Pb 3.14-3.44, 1 Al 3.43
Pm 0.7500 0.6420 0.5490  5 Pb 3.14-3.44, 1 Al 3.43
Pm 0.2500 0.5490 0.9070  5 Pb 3.14-3.44, 1 Al 3.43
Pm 0.2500 0.3580 0.4510  5 Pb 3.14-3.44, 1 Al 3.43
Pb 0.2500 0.9334 0.2060  1 Al 3.13, 5 Pm 3.14-3.44
Pb 0.7500 0.2060 0.2726  1 Al 3.13, 5 Pm 3.14-3.44
Pb 0.2500 0.7940 0.7274  1 Al 3.13, 5 Pm 3.14-3.44
Pb 0.2500 0.2726 0.0666  1 Al 3.13, 5 Pm 3.14-3.44
Pb 0.7500 0.7274 0.9334  1 Al 3.13, 5 Pm 3.14-3.44
Pb 0.7500 0.0666 0.7940  1 Al 3.13, 5 Pm 3.14-3.44
Al 0.2500 0.6667 0.3333  3 Pb 3.13, 3 Pm 3.43
Al 0.7500 0.3333 0.6667  3 Pb 3.13, 3 Pm 3.43